Entry 1:
Material: ScMnBiSb2
Method: DFT, PBE-GGA
State: optimized geometry

Cell lengths 5.871, 5.871, 5.391 Å; angles 90.00, 90.00, 90.00 degrees
Fractional positions:
Sc1 0.000 0.000 0.000
Mn1 0.500 0.500 0.000
Bi1 0.000 0.000 0.500
Sb1 0.000 0.500 0.500
Sb2 0.500 0.000 0.500

Calculated values
Size of the total moment, μB/cell: 4.795
Uncorrected formation energy, meV per atom: 1041
Space group: P4/mmm, No. 123


Entry 2:
Material: Mn2TcBiSb
Method: DFT, PBE-GGA
State: optimized geometry

Cell lengths 4.850, 4.850, 5.189 Å; angles 90.00, 90.00, 90.00 degrees
Fractional positions:
Mn1 0.000 0.500 0.000
Mn2 0.500 0.000 0.000
Tc1 0.000 0.000 0.000
Bi1 0.000 0.000 0.500
Sb1 0.500 0.500 0.500

Calculated values
Size of the total moment, μB/cell: 7.065
Uncorrected formation energy, meV per atom: 888
Space group: P4/mmm, No. 123


Entry 3:
Material: MnBiSbTe2
Method: DFT, PBE-GGA
State: optimized geometry

Cell lengths 5.104, 5.104, 5.052 Å; angles 90.00, 90.00, 90.00 degrees
Fractional positions:
Mn1 0.000 0.000 0.000
Bi1 0.500 0.500 0.500
Sb1 0.000 0.000 0.500
Te1 0.000 0.500 0.000
Te2 0.500 0.000 0.000

Calculated values
Size of the total moment, μB/cell: 3.133
Uncorrected formation energy, meV per atom: 311
Space group: P4/mmm, No. 123


Entry 4:
Material: MnBiSb2Te
Method: DFT, PBE-GGA
State: optimized geometry

Cell lengths 4.858, 4.858, 5.672 Å; angles 90.00, 90.00, 90.00 degrees
Fractional positions:
Mn1 0.000 0.000 0.000
Bi1 0.500 0.500 0.500
Sb1 0.000 0.500 0.000
Sb2 0.500 0.000 0.000
Te1 0.000 0.000 0.500

Calculated values
Size of the total moment, μB/cell: 0.000
Uncorrected formation energy, meV per atom: 373
Space group: P4/mmm, No. 123


Entry 5:
Material: MnV2BiSb
Method: DFT, PBE-GGA
State: optimized geometry

Cell lengths 4.899, 4.899, 4.714 Å; angles 90.00, 90.00, 90.00 degrees
Fractional positions:
Mn1 0.000 0.000 0.000
V1 0.000 0.500 0.500
V2 0.500 0.000 0.500
Bi1 0.500 0.500 0.000
Sb1 0.000 0.000 0.500

Calculated values
Size of the total moment, μB/cell: 1.174
Uncorrected formation energy, meV per atom: 1383
Space group: P4/mmm, No. 123


Entry 6:
Material: Sc2MnBi
Method: DFT, PBE-GGA
State: optimized geometry

Cell lengths 6.262, 6.262, 6.262 Å; angles 103.87, 103.87, 121.37 degrees
Fractional positions:
Sc1 0.092 0.625 0.967
Sc2 0.375 0.342 0.467
Sc3 0.658 0.125 0.033
Sc4 0.875 0.908 0.533
Mn1 0.000 0.000 0.000
Mn2 0.750 0.250 0.500
Bi1 0.250 0.750 0.500
Bi2 0.500 0.500 0.000

Calculated values
DFT formation energy, eV/atom: 0.161
Size of the total moment, μB/cell: 5.634
Space group: I-42d, No. 122


Entry 7:
Material: Sc2MnBi
Method: DFT, PBE-GGA
State: optimized geometry

Cell lengths 9.790, 9.790, 9.790 Å; angles 19.73, 19.73, 19.73 degrees
Fractional positions:
Sc1 0.106 0.106 0.106
Sc2 0.894 0.894 0.894
Mn1 0.500 0.500 0.500
Bi1 0.000 0.000 0.000

Calculated values
DFT formation energy, eV/atom: 0.244
Size of the total moment, μB/cell: 0.431
Space group: R-3m, No. 166


Entry 8:
Material: ScMn3Bi
Method: DFT, PBE-GGA
State: optimized geometry

Cell lengths 4.780, 4.780, 4.780 Å; angles 90.00, 90.00, 90.00 degrees
Fractional positions:
Sc1 0.000 0.000 0.000
Mn1 0.000 0.000 0.500
Mn2 0.000 0.500 0.000
Mn3 0.500 0.000 0.000
Bi1 0.500 0.500 0.500

Calculated values
DFT formation energy, eV/atom: 1.125
Size of the total moment, μB/cell: 9.915
Space group: Pm-3m, No. 221


Entry 9:
Material: ScMnBi3
Method: DFT, PBE-GGA
State: optimized geometry

Cell lengths 5.284, 5.284, 5.284 Å; angles 90.00, 90.00, 90.00 degrees
Fractional positions:
Sc1 0.000 0.000 0.000
Mn1 0.500 0.500 0.500
Bi1 0.000 0.500 0.500
Bi2 0.500 0.000 0.500
Bi3 0.500 0.500 0.000

Calculated values
DFT formation energy, eV/atom: 0.348
Size of the total moment, μB/cell: 3.670
Space group: Pm-3m, No. 221


Entry 10:
Material: ScMn3Bi
Method: DFT, PBE-GGA
State: optimized geometry

Cell lengths 5.019, 5.019, 5.019 Å; angles 90.00, 90.00, 90.00 degrees
Fractional positions:
Sc1 0.000 0.000 0.000
Mn1 0.000 0.500 0.500
Mn2 0.500 0.000 0.500
Mn3 0.500 0.500 0.000
Bi1 0.500 0.500 0.500

Calculated values
DFT formation energy, eV/atom: 1.106
Size of the total moment, μB/cell: 9.410
Space group: Pm-3m, No. 221


Entry 11:
Material: ScMn2Bi
Method: DFT, PBE-GGA
State: optimized geometry

Cell lengths 9.702, 9.702, 9.702 Å; angles 155.82, 155.82, 34.46 degrees
Fractional positions:
Sc1 0.000 0.000 0.000
Sc2 0.750 0.250 0.500
Mn1 0.020 0.625 0.895
Mn2 0.375 0.270 0.395
Mn3 0.730 0.125 0.105
Mn4 0.875 0.980 0.605
Bi1 0.250 0.750 0.500
Bi2 0.500 0.500 0.000

Calculated values
DFT formation energy, eV/atom: 0.710
Size of the total moment, μB/cell: 0.002
Space group: I-42d, No. 122


Entry 12:
Material: Sc2Mn2Bi
Method: DFT, PBE-GGA
State: optimized geometry

Cell lengths 7.224, 7.224, 3.788 Å; angles 90.00, 90.00, 90.00 degrees
Fractional positions:
Sc1 0.167 0.333 0.000
Sc2 0.333 0.833 0.000
Sc3 0.667 0.167 0.000
Sc4 0.833 0.667 0.000
Mn1 0.123 0.623 0.500
Mn2 0.377 0.123 0.500
Mn3 0.623 0.877 0.500
Mn4 0.877 0.377 0.500
Bi1 0.000 0.000 0.500
Bi2 0.500 0.500 0.500

Calculated values
DFT formation energy, eV/atom: -0.077
Size of the total moment, μB/cell: 10.890
Space group: P4/mbm, No. 127


Entry 13:
Material: ScMnBi3
Method: DFT, PBE-GGA
State: optimized geometry

Cell lengths 5.571, 5.571, 5.571 Å; angles 90.00, 90.00, 90.00 degrees
Fractional positions:
Sc1 0.000 0.000 0.000
Mn1 0.500 0.500 0.500
Bi1 0.000 0.000 0.500
Bi2 0.000 0.500 0.000
Bi3 0.500 0.000 0.000

Calculated values
DFT formation energy, eV/atom: 0.565
Size of the total moment, μB/cell: 4.746
Space group: Pm-3m, No. 221


Entry 14:
Material: Mn2BiSe
Method: DFT, PBE-GGA
State: optimized geometry

Cell lengths 4.754, 4.754, 4.754 Å; angles 60.00, 60.00, 60.00 degrees
Fractional positions:
Mn1 0.250 0.250 0.250
Mn2 0.750 0.750 0.750
Bi1 0.000 0.000 0.000
Se1 0.500 0.500 0.500

Calculated values
Size of the total moment, μB/cell: 6.513
Uncorrected formation energy, meV per atom: 296
Space group: Fm-3m, No. 225


Entry 15:
Material: MnBi2Se4
Method: DFT, PBE-GGA
State: optimized geometry

Cell lengths 6.978, 6.978, 15.504 Å; angles 114.06, 114.06, 34.15 degrees
Fractional positions:
Mn1 0.000 0.000 0.000
Mn2 0.000 0.000 0.500
Bi1 0.220 0.220 0.872
Bi2 0.351 0.351 0.637
Bi3 0.649 0.649 0.363
Bi4 0.780 0.780 0.128
Se1 0.013 0.013 0.672
Se2 0.163 0.163 0.176
Se3 0.344 0.344 0.456
Se4 0.400 0.400 0.054
Se5 0.600 0.600 0.946
Se6 0.656 0.656 0.544
Se7 0.837 0.837 0.824
Se8 0.987 0.987 0.328

Calculated values
Size of the total moment, μB/cell: 10.000
Uncorrected formation energy, meV per atom: -392
Space group: C2/m, No. 12


Entry 16:
Material: MnBiSe
Method: DFT, PBE-GGA
State: optimized geometry

Cell lengths 5.166, 4.088, 7.323 Å; angles 90.00, 108.97, 90.00 degrees
Fractional positions:
Mn1 0.180 0.250 0.350
Mn2 0.820 0.750 0.650
Bi1 0.241 0.750 0.050
Bi2 0.759 0.250 0.950
Se1 0.284 0.750 0.578
Se2 0.716 0.250 0.422

Calculated values
Size of the total moment, μB/cell: 7.699
Uncorrected formation energy, meV per atom: -135
Space group: P2_1/m, No. 11


Entry 17:
Material: Mn5Bi3Se12
Method: DFT, PBE-GGA
State: optimized geometry

Cell lengths 13.790, 13.790, 13.790 Å; angles 109.47, 109.47, 109.47 degrees
Fractional positions:
Mn1 0.000 0.000 0.000
Mn2 0.000 0.000 0.500
Mn3 0.000 0.500 0.000
Mn4 0.000 0.500 0.500
Mn5 0.125 0.750 0.875
Mn6 0.125 0.875 0.250
Mn7 0.250 0.125 0.875
Mn8 0.250 0.625 0.375
Mn9 0.375 0.250 0.625
Mn10 0.375 0.625 0.750
Mn11 0.500 0.000 0.000
Mn12 0.500 0.000 0.500
Mn13 0.500 0.500 0.000
Mn14 0.500 0.500 0.500
Mn15 0.625 0.375 0.250
Mn16 0.625 0.750 0.375
Mn17 0.750 0.375 0.625
Mn18 0.750 0.875 0.125
Mn19 0.875 0.125 0.750
Mn20 0.875 0.250 0.125
Bi1 0.125 0.250 0.375
Bi2 0.125 0.375 0.750
Bi3 0.250 0.375 0.125
Bi4 0.250 0.875 0.625
Bi5 0.375 0.125 0.250
Bi6 0.375 0.750 0.125
Bi7 0.625 0.250 0.875
Bi8 0.625 0.875 0.750
Bi9 0.750 0.125 0.375
Bi10 0.750 0.625 0.875
Bi11 0.875 0.625 0.250
Bi12 0.875 0.750 0.625
Se1 0.028 0.204 0.119
Se2 0.028 0.325 0.909
Se3 0.084 0.704 0.675
Se4 0.084 0.881 0.409
Se5 0.091 0.619 0.416
Se6 0.091 0.972 0.675
Se7 0.119 0.028 0.204
Se8 0.119 0.591 0.916
Se9 0.175 0.204 0.584
Se10 0.175 0.472 0.591
Se11 0.204 0.119 0.028
Se12 0.204 0.584 0.175
Se13 0.296 0.325 0.916
Se14 0.296 0.472 0.381
Se15 0.325 0.909 0.028
Se16 0.325 0.916 0.296
Se17 0.381 0.296 0.472
Se18 0.381 0.584 0.909
Se19 0.409 0.084 0.881
Se20 0.409 0.825 0.528
Se21 0.416 0.091 0.619
Se22 0.416 0.825 0.796
Se23 0.472 0.381 0.296
Se24 0.472 0.591 0.175
Se25 0.528 0.409 0.825
Se26 0.528 0.619 0.704
Se27 0.584 0.175 0.204
Se28 0.584 0.909 0.381
Se29 0.591 0.175 0.472
Se30 0.591 0.916 0.119
Se31 0.619 0.416 0.091
Se32 0.619 0.704 0.528
Se33 0.675 0.084 0.704
Se34 0.675 0.091 0.972
Se35 0.704 0.528 0.619
Se36 0.704 0.675 0.084
Se37 0.796 0.416 0.825
Se38 0.796 0.881 0.972
Se39 0.825 0.528 0.409
Se40 0.825 0.796 0.416
Se41 0.881 0.409 0.084
Se42 0.881 0.972 0.796
Se43 0.909 0.028 0.325
Se44 0.909 0.381 0.584
Se45 0.916 0.119 0.591
Se46 0.916 0.296 0.325
Se47 0.972 0.675 0.091
Se48 0.972 0.796 0.881

Calculated values
Size of the total moment, μB/cell: 80.128
Uncorrected formation energy, meV per atom: -315
Space group: Ia-3d, No. 230


Entry 18:
Material: MnBi2Se4
Method: DFT, PBE-GGA
State: optimized geometry

Cell lengths 7.636, 7.636, 7.272 Å; angles 116.65, 116.65, 30.99 degrees
Fractional positions:
Mn1 0.000 0.000 0.000
Bi1 0.270 0.270 0.281
Bi2 0.730 0.730 0.719
Se1 0.112 0.112 0.425
Se2 0.383 0.383 0.026
Se3 0.617 0.617 0.974
Se4 0.888 0.888 0.575

Calculated values
Size of the total moment, μB/cell: 5.000
Uncorrected formation energy, meV per atom: -361
Space group: C2/m, No. 12


Entry 19:
Material: MnBi2Se
Method: DFT, PBE-GGA
State: optimized geometry

Cell lengths 8.276, 8.276, 8.276 Å; angles 135.63, 135.63, 64.56 degrees
Fractional positions:
Mn1 0.000 0.000 0.000
Mn2 0.750 0.250 0.500
Bi1 0.090 0.625 0.965
Bi2 0.375 0.340 0.465
Bi3 0.660 0.125 0.035
Bi4 0.875 0.910 0.535
Se1 0.250 0.750 0.500
Se2 0.500 0.500 0.000

Calculated values
Size of the total moment, μB/cell: 6.829
Uncorrected formation energy, meV per atom: 382
Space group: I-42d, No. 122


Entry 20:
Material: Mn2BiSe
Method: DFT, PBE-GGA
State: optimized geometry

Cell lengths 7.227, 7.227, 7.227 Å; angles 127.51, 127.51, 77.42 degrees
Fractional positions:
Mn1 0.093 0.625 0.968
Mn2 0.375 0.343 0.468
Mn3 0.657 0.125 0.032
Mn4 0.875 0.907 0.532
Bi1 0.250 0.750 0.500
Bi2 0.500 0.500 0.000
Se1 0.000 0.000 0.000
Se2 0.750 0.250 0.500

Calculated values
Size of the total moment, μB/cell: 18.000
Uncorrected formation energy, meV per atom: 148
Space group: I-42d, No. 122


Number 1: mass density 4.936 g/cm3. Number 2: mass density 7.329 g/cm3. Number 3: mass density 8.086 g/cm3. Number 4: mass density 7.879 g/cm3. Number 5: mass density 7.155 g/cm3. Number 6: mass density 6.427 g/cm3. Number 7: mass density 6.281 g/cm3. Number 8: mass density 6.365 g/cm3. Number 9: mass density 8.181 g/cm3. Number 10: mass density 5.501 g/cm3. Number 11: mass density 7.893 g/cm3. Number 12: mass density 6.866 g/cm3. Number 13: mass density 6.980 g/cm3. Number 14: mass density 8.697 g/cm3. Number 15: mass density 6.834 g/cm3. Number 16: mass density 7.786 g/cm3. Number 17: mass density 6.085 g/cm3. Number 18: mass density 6.777 g/cm3. Number 19: mass density 6.704 g/cm3. Number 20: mass density 5.735 g/cm3.